First-principles (PBE) data for a relaxed AlNiP2 crystal, as listed in Alexandria via LeMat-Bulk.

a b c (Å): 5.084 5.084 11.279
angles (deg): 90.00 90.00 90.00
Fractional positions:
Al (0.000, 0.000, 0.000)
Al (0.000, 0.500, 0.250)
Al (0.500, 0.000, 0.750)
Al (0.500, 0.500, 0.500)
Ni (0.000, 0.000, 0.500)
Ni (0.000, 0.500, 0.750)
Ni (0.500, 0.000, 0.250)
Ni (0.500, 0.500, 0.000)
P (0.213, 0.250, 0.625)
P (0.250, 0.713, 0.875)
P (0.250, 0.787, 0.375)
P (0.287, 0.250, 0.125)
P (0.713, 0.750, 0.125)
P (0.750, 0.213, 0.375)
P (0.750, 0.287, 0.875)
P (0.787, 0.750, 0.625)

energy of formation from the pure elements: -0.238 eV/atom
DFT total energy: -85.178 eV/cell